a | Material: SmSnW
Method: DFT, PBE-GGA
State: optimized geometry

abc: 3.6266 8.2789 8.2789
angles: 119.97 90.00 90.00
Fractional coordinates of all 9 atoms:
Sm (0.0000, 0.6650, 0.0000)
Sm (0.0000, 0.3352, 0.3352)
Sm (0.0000, 0.0000, 0.6650)
Sn (0.5000, 0.3325, 0.0004)
Sn (0.5000, 0.0004, 0.3325)
Sn (0.5000, 0.6671, 0.6671)
W (0.5000, 0.6669, 0.3332)
W (0.5000, 0.3332, 0.6669)
W (0.5000, 0.9996, 0.9996)

b | Material: SmSnW
Method: DFT, PBE-GGA
State: optimized geometry

abc: 4.9807 4.9807 4.9807
angles: 60.00 60.00 60.00
Fractional coordinates of all 3 atoms:
Sm (0.0000, 0.0000, 0.0000)
Sn (0.2500, 0.2500, 0.2500)
W (0.7500, 0.7500, 0.7500)

Taking the most stable structure as the zero point, the relative energies in kJ/mol of atoms are a 0.0; b 85.7.

a | Material: SmTa
Method: DFT, PBE-GGA
State: optimized geometry

abc: 4.2261 4.2261 4.2261
angles: 60.00 60.00 60.00
Fractional coordinates of all 2 atoms:
Sm (0.0000, 0.0000, 0.0000)
Ta (0.5000, 0.5000, 0.5000)

b | Material: SmTa
Method: DFT, PBE-GGA
State: optimized geometry

abc: 4.5645 4.5645 4.5645
angles: 60.00 60.00 60.00
Fractional coordinates of all 2 atoms:
Sm (0.0000, 0.0000, 0.0000)
Ta (0.2500, 0.2500, 0.2500)

c | Material: SmTa
Method: DFT, PBE-GGA
State: optimized geometry

abc: 3.1752 3.1752 5.4257
angles: 90.00 90.00 120.00
Fractional coordinates of all 2 atoms:
Sm (0.6667, 0.3333, 0.7500)
Ta (0.3333, 0.6667, 0.2500)

Taking the most stable structure as the zero point, the relative energies in kJ/mol of atoms are a 89.8; b 205.1; c 0.0.

a | Material: SmTaTl
Method: DFT, PBE-GGA
State: optimized geometry

abc: 5.0474 5.0474 5.0474
angles: 60.00 60.00 60.00
Fractional coordinates of all 3 atoms:
Sm (0.0000, 0.0000, 0.0000)
Ta (0.2500, 0.2500, 0.2500)
Tl (0.7500, 0.7500, 0.7500)

b | Material: SmTaTl
Method: DFT, PBE-GGA
State: optimized geometry

abc: 4.9029 4.9029 4.9029
angles: 60.00 60.00 60.00
Fractional coordinates of all 3 atoms:
Sm (0.2500, 0.2500, 0.2500)
Ta (0.7500, 0.7500, 0.7500)
Tl (0.0000, 0.0000, 0.0000)

Taking the most stable structure as the zero point, the relative energies in kJ/mol of atoms are a 41.2; b 0.0.

a | Material: SmTaW
Method: DFT, PBE-GGA
State: optimized geometry

abc: 4.6311 4.6311 4.6311
angles: 60.00 60.00 60.00
Fractional coordinates of all 3 atoms:
Sm (0.0000, 0.0000, 0.0000)
Ta (0.2500, 0.2500, 0.2500)
W (0.7500, 0.7500, 0.7500)

b | Material: SmTaW
Method: DFT, PBE-GGA
State: optimized geometry

abc: 4.6440 4.6440 4.6440
angles: 60.00 60.00 60.00
Fractional coordinates of all 3 atoms:
Sm (0.2500, 0.2500, 0.2500)
Ta (0.7500, 0.7500, 0.7500)
W (0.0000, 0.0000, 0.0000)

Taking the most stable structure as the zero point, the relative energies in kJ/mol of atoms are a 110.8; b 0.0.

a | Material: SmTaZn
Method: DFT, PBE-GGA
State: optimized geometry

abc: 4.8081 4.8081 4.8081
angles: 60.00 60.00 60.00
Fractional coordinates of all 3 atoms:
Sm (0.0000, 0.0000, 0.0000)
Ta (0.2500, 0.2500, 0.2500)
Zn (0.7500, 0.7500, 0.7500)

b | Material: SmTaZn
Method: DFT, PBE-GGA
State: optimized geometry

abc: 4.6291 4.6291 4.6291
angles: 60.00 60.00 60.00
Fractional coordinates of all 3 atoms:
Sm (0.2500, 0.2500, 0.2500)
Ta (0.7500, 0.7500, 0.7500)
Zn (0.0000, 0.0000, 0.0000)

Taking the most stable structure as the zero point, the relative energies in kJ/mol of atoms are a 69.0; b 0.0.

a | Material: TbSm2
Method: DFT, PBE-GGA
State: optimized geometry

abc: 9.0304 9.0304 9.0304
angles: 60.00 60.00 60.00
Fractional coordinates of all 6 atoms:
Sm (0.8750, 0.3750, 0.3750)
Sm (0.3750, 0.8750, 0.3750)
Sm (0.3750, 0.3750, 0.3750)
Sm (0.3750, 0.3750, 0.8750)
Tb (0.2500, 0.2500, 0.2500)
Tb (0.5000, 0.5000, 0.5000)

b | Material: TbSm2
Method: DFT, PBE-GGA
State: optimized geometry

abc: 6.6316 6.6316 6.6316
angles: 60.00 60.00 60.00
Fractional coordinates of all 6 atoms:
Sm (0.6250, 0.6250, 0.1250)
Sm (0.6250, 0.1250, 0.6250)
Sm (0.1250, 0.6250, 0.6250)
Sm (0.6250, 0.6250, 0.6250)
Tb (0.0000, 0.0000, 0.0000)
Tb (0.2500, 0.2500, 0.2500)

Taking the most stable structure as the zero point, the relative energies in kJ/mol of atoms are a 198.6; b 0.0.

a | Material: Tb2Sm
Method: DFT, PBE-GGA
State: optimized geometry

abc: 6.5980 6.5980 6.5980
angles: 60.00 60.00 60.00
Fractional coordinates of all 6 atoms:
Sm (0.0000, 0.0000, 0.0000)
Sm (0.2500, 0.2500, 0.2500)
Tb (0.6250, 0.6250, 0.1250)
Tb (0.6250, 0.1250, 0.6250)
Tb (0.1250, 0.6250, 0.6250)
Tb (0.6250, 0.6250, 0.6250)

b | Material: Tb2Sm
Method: DFT, PBE-GGA
State: optimized geometry

abc: 8.8863 8.8863 8.8863
angles: 60.00 60.00 60.00
Fractional coordinates of all 6 atoms:
Sm (0.2500, 0.2500, 0.2500)
Sm (0.5000, 0.5000, 0.5000)
Tb (0.3750, 0.3750, 0.3750)
Tb (0.8750, 0.3750, 0.3750)
Tb (0.3750, 0.8750, 0.3750)
Tb (0.3750, 0.3750, 0.8750)

Taking the most stable structure as the zero point, the relative energies in kJ/mol of atoms are a 0.0; b 211.5.

a | Material: TbSmTlTe3
Method: DFT, PBE-GGA
State: optimized geometry

abc: 7.9990 7.9990 12.1626
angles: 90.00 90.00 147.35
Fractional coordinates of all 12 atoms:
Sm (0.5000, 0.5000, 0.0000)
Sm (0.5000, 0.5000, 0.5000)
Tb (0.9352, 0.0648, 0.2500)
Tb (0.0648, 0.9352, 0.7500)
Te (0.8551, 0.1449, 0.0306)
Te (0.5643, 0.4357, 0.2500)
Te (0.8551, 0.1449, 0.4694)
Te (0.1449, 0.8551, 0.5306)
Te (0.4357, 0.5643, 0.7500)
Te (0.1449, 0.8551, 0.9694)
Tl (0.2433, 0.7567, 0.2500)
Tl (0.7567, 0.2433, 0.7500)

b | Material: TbSmTlTe3
Method: DFT, PBE-GGA
State: optimized geometry

abc: 7.9640 7.9640 12.1349
angles: 90.00 90.00 147.50
Fractional coordinates of all 12 atoms:
Sm (0.0701, 0.9299, 0.2500)
Sm (0.9299, 0.0701, 0.7500)
Tb (0.5000, 0.5000, 0.0000)
Tb (0.5000, 0.5000, 0.5000)
Te (0.1434, 0.8566, 0.0223)
Te (0.4349, 0.5651, 0.2500)
Te (0.1434, 0.8566, 0.4777)
Te (0.8566, 0.1434, 0.5223)
Te (0.5651, 0.4349, 0.7500)
Te (0.8566, 0.1434, 0.9777)
Tl (0.7577, 0.2423, 0.2500)
Tl (0.2423, 0.7577, 0.7500)

Taking the most stable structure as the zero point, the relative energies in kJ/mol of atoms are a 0.0; b 1.3.

a | Material: TbSmTm
Method: DFT, PBE-GGA
State: optimized geometry

abc: 3.5748 6.1885 8.8099
angles: 96.74 101.70 90.01
Fractional coordinates of all 6 atoms:
Sm (0.2495, 0.7508, 0.4983)
Sm (0.7505, 0.2492, 0.5017)
Tb (0.0821, 0.3601, 0.1639)
Tb (0.9179, 0.6399, 0.8361)
Tm (0.5826, 0.8619, 0.1639)
Tm (0.4174, 0.1381, 0.8361)

b | Material: TbSmTm
Method: DFT, PBE-GGA
State: optimized geometry

abc: 5.4183 5.4183 5.4183
angles: 60.00 60.00 60.00
Fractional coordinates of all 3 atoms:
Sm (0.2500, 0.2500, 0.2500)
Tb (0.7500, 0.7500, 0.7500)
Tm (0.0000, 0.0000, 0.0000)

Taking the most stable structure as the zero point, the relative energies in kJ/mol of atoms are a 0.0; b 68.6.

a | Material: TbSmY
Method: DFT, PBE-GGA
State: optimized geometry

abc: 5.6812 5.6812 10.4470
angles: 90.00 90.00 120.00
Fractional coordinates of all 9 atoms:
Sm (0.0000, 0.0000, 0.0000)
Sm (0.0000, 0.0000, 0.3333)
Sm (0.0000, 0.0000, 0.6667)
Tb (0.6667, 0.3333, 0.1653)
Tb (0.3333, 0.6667, 0.5000)
Tb (0.6667, 0.3333, 0.8347)
Y (0.3333, 0.6667, 0.1677)
Y (0.6667, 0.3333, 0.5000)
Y (0.3333, 0.6667, 0.8323)

b | Material: TbSmY
Method: DFT, PBE-GGA
State: optimized geometry

abc: 5.4793 5.4793 5.4793
angles: 60.00 60.00 60.00
Fractional coordinates of all 3 atoms:
Sm (0.7500, 0.7500, 0.7500)
Tb (0.2500, 0.2500, 0.2500)
Y (0.5000, 0.5000, 0.5000)

Taking the most stable structure as the zero point, the relative energies in kJ/mol of atoms are a 0.0; b 65.5.

a | Material: SmTc
Method: DFT, PBE-GGA
State: optimized geometry

abc: 4.9408 4.9408 4.7394
angles: 90.00 90.00 120.00
Fractional coordinates of all 4 atoms:
Sm (0.6667, 0.3333, 0.2500)
Sm (0.3333, 0.6667, 0.7500)
Tc (0.0000, 0.0000, 0.0000)
Tc (0.0000, 0.0000, 0.5000)

b | Material: SmTc
Method: DFT, PBE-GGA
State: optimized geometry

abc: 3.6536 3.6536 7.2614
angles: 90.00 90.00 120.00
Fractional coordinates of all 4 atoms:
Sm (0.0000, 0.0000, 0.0000)
Sm (0.0000, 0.0000, 0.5000)
Tc (0.6667, 0.3333, 0.2500)
Tc (0.3333, 0.6667, 0.7500)

c | Material: SmTc
Method: DFT, PBE-GGA
State: optimized geometry

abc: 4.0963 4.0963 4.0963
angles: 60.00 60.00 60.00
Fractional coordinates of all 2 atoms:
Sm (0.0000, 0.0000, 0.0000)
Tc (0.5000, 0.5000, 0.5000)

Taking the most stable structure as the zero point, the relative energies in kJ/mol of atoms are a 0.0; b 70.5; c 76.2.

a | Material: SmTc
Method: DFT, PBE-GGA
State: optimized geometry

abc: 4.3325 4.3325 4.3325
angles: 60.00 60.00 60.00
Fractional coordinates of all 2 atoms:
Sm (0.0000, 0.0000, 0.0000)
Tc (0.2500, 0.2500, 0.2500)

b | Material: SmTc
Method: DFT, PBE-GGA
State: optimized geometry

abc: 3.4312 3.4311 4.3252
angles: 90.00 90.00 120.00
Fractional coordinates of all 2 atoms:
Sm (0.6667, 0.3333, 0.7500)
Tc (0.3333, 0.6667, 0.2500)

Taking the most stable structure as the zero point, the relative energies in kJ/mol of atoms are a 119.6; b 0.0.

a | Material: SmTc2
Method: DFT, PBE-GGA
State: optimized geometry

abc: 5.4528 5.4528 5.4528
angles: 60.00 60.00 60.00
Fractional coordinates of all 6 atoms:
Sm (0.0000, 0.0000, 0.0000)
Sm (0.2500, 0.2500, 0.2500)
Tc (0.6250, 0.6250, 0.1250)
Tc (0.6250, 0.1250, 0.6250)
Tc (0.1250, 0.6250, 0.6250)
Tc (0.6250, 0.6250, 0.6250)

b | Material: SmTc2
Method: DFT, PBE-GGA
State: optimized geometry

abc: 8.9743 8.9743 8.9743
angles: 60.00 60.00 60.00
Fractional coordinates of all 6 atoms:
Sm (0.2500, 0.2500, 0.2500)
Sm (0.5000, 0.5000, 0.5000)
Tc (0.3750, 0.3750, 0.3750)
Tc (0.8750, 0.3750, 0.3750)
Tc (0.3750, 0.8750, 0.3750)
Tc (0.3750, 0.3750, 0.8750)

Taking the most stable structure as the zero point, the relative energies in kJ/mol of atoms are a 0.0; b 337.4.

a | Material: SmTcTe
Method: DFT, PBE-GGA
State: optimized geometry

abc: 4.7871 4.7871 4.7871
angles: 60.00 60.00 60.00
Fractional coordinates of all 3 atoms:
Sm (0.2500, 0.2500, 0.2500)
Tc (0.7500, 0.7500, 0.7500)
Te (0.0000, 0.0000, 0.0000)

b | Material: SmTcTe
Method: DFT, PBE-GGA
State: optimized geometry

abc: 4.9360 4.9360 4.9360
angles: 60.00 60.00 60.00
Fractional coordinates of all 3 atoms:
Sm (0.0000, 0.0000, 0.0000)
Tc (0.2500, 0.2500, 0.2500)
Te (0.7500, 0.7500, 0.7500)

Taking the most stable structure as the zero point, the relative energies in kJ/mol of atoms are a 0.0; b 49.4.